[1]
## TlB3W (PBE)

Data for TlB3W after structural relaxation.

Calculated values
The density of states at the Fermi level comes out at 6.56 states/eV/f.u. The distance to the lowest polymorph of the same formula is 186.3 kJ/mol of atoms. Its total moment is 0.0 μB/f.u. The calculation puts the formation energy at 3.19 eV/atom. The calculated density is 8.87 g/cm3.

CIF file:
```
data_TlB3W
_chemical_formula_sum 'Tl1 B3 W1'
_cell_length_a 4.287
_cell_length_b 4.287
_cell_length_c 4.287
_cell_angle_alpha 90.00
_cell_angle_beta 90.00
_cell_angle_gamma 90.00
_symmetry_space_group_name_H-M 'P m -3 m'
_symmetry_Int_Tables_number 221
_symmetry_space_group_name_Hall '-P 4 2 3'
loop_
_atom_site_label
_atom_site_type_symbol
_atom_site_fract_x
_atom_site_fract_y
_atom_site_fract_z
Tl1 Tl 0.000 0.000 0.000
B1 B 0.000 0.000 0.500
W1 W 0.500 0.500 0.500
```

---

[2]
## Lu2AlCo (PBE)

Data for Lu2AlCo after structural relaxation.

Calculated values
The density of states at the Fermi level comes out at 3.23 states/eV/f.u. The distance to the lowest polymorph of the same formula is 69.0 kJ/mol of atoms. Its total moment is 0.8 μB/f.u. The calculation puts the formation energy at 0.36 eV/atom. The calculated density is 8.33 g/cm3.

CIF file:
```
data_Lu2AlCo
_chemical_formula_sum 'Lu6 Al3 Co3'
_cell_length_a 3.2214
_cell_length_b 3.2214
_cell_length_c 28.9984
_cell_angle_alpha 90.00
_cell_angle_beta 90.00
_cell_angle_gamma 120.00
_symmetry_space_group_name_H-M 'R -3 m'
_symmetry_Int_Tables_number 166
_symmetry_space_group_name_Hall '-R 3 2"'
loop_
_atom_site_label
_atom_site_type_symbol
_atom_site_fract_x
_atom_site_fract_y
_atom_site_fract_z
Lu1 Lu 0.0000 0.0000 0.0841
Al1 Al 0.0000 0.0000 0.5000
Co1 Co 0.0000 0.0000 0.0000
```